Material: CaAlIr
Method: DFT, PBE
State: relaxed

* raw total energy: -5.17 eV per atom
* N(E_F): 4.620 states/eV per cell
* volume: 64.9 Å³/f.u.
* energy of formation from the pure elements: -302 meV per atom

CIF file:
```
data_CaAlIr
_chemical_formula_sum 'Ca4 Al4 Ir4'
_cell_length_a 6.3807
_cell_length_b 6.3807
_cell_length_c 6.3807
_cell_angle_alpha 90.00
_cell_angle_beta 90.00
_cell_angle_gamma 90.00
_symmetry_space_group_name_H-M 'F -4 3 m'
_symmetry_Int_Tables_number 216
_symmetry_space_group_name_Hall 'F -4 2 3'
loop_
_atom_site_label
_atom_site_type_symbol
_atom_site_fract_x
_atom_site_fract_y
_atom_site_fract_z
Ca1 Ca 0.0000 0.0000 0.0000
Al1 Al 0.0000 0.0000 0.5000
Ir1 Ir 0.2500 0.2500 0.7500
```